VASP calculation (PBE-GGA) on an optimized crystal structure of Ca2MnN2.

Output
* formation energy from raw total energies: -3.768 eV/f.u.
* crystal system: monoclinic
* space group: No. 12
* DOS at the Fermi energy: 1.45 states/eV/f.u.

The structure in extended XYZ format:
```
10
Lattice="5.441 -2.500 0.000 5.441 2.500 0.000 -3.294 0.000 5.700" Properties=species:S:1:pos:R:3 pbc="T T T"
Ca -0.546 0.000 1.543
Ca 0.554 0.000 5.045
Ca 7.033 0.000 0.655
Ca 8.133 0.000 4.157
Mn 2.817 0.000 2.120
Mn 4.771 0.000 3.580
N 1.665 0.000 0.738
N 2.990 0.000 3.984
N 4.598 0.000 1.716
N 5.922 0.000 4.962
```